No. 1
# PrB4Os | OQMD | PBE-GGA | optimized geometry
data_PrB4Os
_chemical_formula_sum 'Pr1 B4 Os1'
_cell_length_a 3.2693
_cell_length_b 3.2693
_cell_length_c 7.0292
_cell_angle_alpha 90.00
_cell_angle_beta 90.00
_cell_angle_gamma 120.00
_symmetry_space_group_name_H-M 'P 6/m m m'
_symmetry_Int_Tables_number 191
_symmetry_space_group_name_Hall '-P 6 2'
loop_
_atom_site_label
_atom_site_type_symbol
_atom_site_fract_x
_atom_site_fract_y
_atom_site_fract_z
Pr1 Pr 0.0000 0.0000 0.0000
B1 B 0.3333 0.6667 0.2975
Os1 Os 0.0000 0.0000 0.5000
# Energy above the lowest structure with this stoichiometry: 0.0 meV per atom
# Total moment: 0.0 μB/cell

---

No. 2
# SrBAu | OQMD | PBE-GGA | optimized geometry
data_SrBAu
_chemical_formula_sum 'Sr4 B4 Au4'
_cell_length_a 6.661
_cell_length_b 6.661
_cell_length_c 6.661
_cell_angle_alpha 90.00
_cell_angle_beta 90.00
_cell_angle_gamma 90.00
_symmetry_space_group_name_H-M 'F -4 3 m'
_symmetry_Int_Tables_number 216
_symmetry_space_group_name_Hall 'F -4 2 3'
loop_
_atom_site_label
_atom_site_type_symbol
_atom_site_fract_x
_atom_site_fract_y
_atom_site_fract_z
Sr1 Sr 0.000 0.000 0.000
B1 B 0.000 0.000 0.500
Au1 Au 0.250 0.250 0.750
# Energy above the lowest structure with this stoichiometry: 268.3 meV per atom

---

No. 3
# ScNiPd2 | OQMD | PBE-GGA | optimized geometry
data_ScNiPd2
_chemical_formula_sum 'Sc4 Ni4 Pd8'
_cell_length_a 6.266
_cell_length_b 6.266
_cell_length_c 6.266
_cell_angle_alpha 90.00
_cell_angle_beta 90.00
_cell_angle_gamma 90.00
_symmetry_space_group_name_H-M 'F -4 3 m'
_symmetry_Int_Tables_number 216
_symmetry_space_group_name_Hall 'F -4 2 3'
loop_
_atom_site_label
_atom_site_type_symbol
_atom_site_fract_x
_atom_site_fract_y
_atom_site_fract_z
Sc1 Sc 0.000 0.000 0.000
Ni1 Ni 0.250 0.250 0.250
Pd1 Pd 0.000 0.000 0.500
Pd2 Pd 0.250 0.250 0.750
# Total moment: 0.0 μB/cell
# Calculated formation energy: -0.534 eV/atom

---

No. 4
# NaSrFeRe | OQMD | PBE-GGA | optimized geometry
data_NaSrFeRe
_chemical_formula_sum 'Na4 Sr4 Fe4 Re4'
_cell_length_a 6.809
_cell_length_b 6.809
_cell_length_c 6.809
_cell_angle_alpha 90.00
_cell_angle_beta 90.00
_cell_angle_gamma 90.00
_symmetry_space_group_name_H-M 'F -4 3 m'
_symmetry_Int_Tables_number 216
_symmetry_space_group_name_Hall 'F -4 2 3'
loop_
_atom_site_label
_atom_site_type_symbol
_atom_site_fract_x
_atom_site_fract_y
_atom_site_fract_z
Na1 Na 0.000 0.000 0.000
Sr1 Sr 0.250 0.250 0.750
Fe1 Fe 0.000 0.000 0.500
Re1 Re 0.250 0.250 0.250
# Energy above the lowest structure with this stoichiometry: 0.0 meV per atom
# Total moment: 16.1 μB/cell

---

Which formula does entry 3 have?
ScNiPd2

---

Number 2 is which compound?
SrBAu